! CeIBrF, optimized geometry, DFT PBE; values from VASP
! E_form (uncorrected) = -2406 meV/atom
! Space group = R3m
&SYSTEM
  ibrav = 0, nat = 4, ntyp = 4
/
ATOMIC_SPECIES
Ce 140.12 Ce.upf
I 126.90 I.upf
Br 79.90 Br.upf
F 19.00 F.upf
ATOMIC_POSITIONS angstrom
Ce -2.8818 -0.0576 -0.7506
I -1.5959 -2.6986 0.7885
Br 0.9525 -8.0566 -1.0578
F -0.9521 -0.9464 -1.9561
CELL_PARAMETERS angstrom
-3.9749 1.4496 -0.0067
1.8096 -1.2292 -3.6215
-0.6794 -8.0145 2.3855

=====

! LaTb3Pm3, optimized geometry, DFT PBE; values from VASP
! Formation energy = 0.220 eV/atom
! Space group = R3m
&SYSTEM
  ibrav = 0, nat = 7, ntyp = 3
/
ATOMIC_SPECIES
La 138.91 La.upf
Tb 158.93 Tb.upf
Pm 145.00 Pm.upf
ATOMIC_POSITIONS angstrom
La 4.5696 0.0000 0.0000
Tb -3.1059 1.7431 3.0192
Tb 2.3150 -1.1694 2.0255
Tb 2.3150 2.3389 0.0000
Pm 1.5150 1.8528 3.2092
Pm 6.9359 -1.0597 1.8355
Pm 6.9359 2.1194 0.0000
CELL_PARAMETERS angstrom
8.1314 0.0000 0.0000
-2.7105 5.8251 0.0000
-2.7105 -2.9125 5.0447

=====

! Tm5In4Ni, optimized geometry, DFT PBE; values from VASP
! Formation energy = -0.452 eV/atom
! Space group = P4/mmm
&SYSTEM
  ibrav = 0, nat = 10, ntyp = 3
/
ATOMIC_SPECIES
Tm 168.93 Tm.upf
In 114.82 In.upf
Ni 58.69 Ni.upf
ATOMIC_POSITIONS angstrom
Tm 1.7261 1.7261 1.5881
Tm 1.7261 1.7261 5.8844
Tm 1.7261 1.7261 10.1694
Tm 1.7261 1.7261 14.4545
Tm 1.7261 1.7261 18.7508
In 0.0000 0.0000 3.7605
In 0.0000 0.0000 8.0239
In 0.0000 0.0000 12.3150
In 0.0000 0.0000 16.5784
Ni 0.0000 0.0000 0.0000
CELL_PARAMETERS angstrom
3.4521 0.0000 0.0000
0.0000 3.4521 0.0000
0.0000 0.0000 20.3389

=====

! NdGaCu5, optimized geometry, DFT PBE; values from VASP
! Formation energy = -0.229 eV/atom
! Space group = Pnma
&SYSTEM
  ibrav = 0, nat = 28, ntyp = 3
/
ATOMIC_SPECIES
Nd 144.24 Nd.upf
Ga 69.72 Ga.upf
Cu 63.55 Cu.upf
ATOMIC_POSITIONS angstrom
Nd 1.6411 7.9159 5.8103
Nd -2.4526 4.5034 3.6705
Nd -0.4907 3.0717 7.8363
Nd -4.5844 -0.3409 5.6964
Ga 0.3377 5.3042 9.9762
Ga -3.3791 2.5897 6.1531
Ga 0.4357 4.9853 5.3537
Ga -3.2811 2.2708 1.5306
Cu -2.1006 -1.1836 4.3754
Cu -3.2702 3.1635 8.7797
Cu 0.3269 4.4116 2.7271
Cu -0.8427 8.7586 7.1313
Cu -1.5080 6.9688 5.4387
Cu -0.6321 2.0779 2.3460
Cu -2.3112 5.4972 9.1608
Cu -1.4353 0.6063 6.0681
Cu -2.3926 -1.5382 7.2356
Cu -2.4362 4.8941 6.6115
Cu -0.5071 2.6809 4.8953
Cu -0.5507 9.1132 4.2712
Cu -4.7434 2.3055 3.8134
Cu 2.2376 5.8124 3.5042
Cu -2.8679 0.7932 8.1185
Cu -0.5129 6.2389 7.5775
Cu 1.8001 5.2695 7.6934
Cu -5.1809 1.7626 8.0025
Cu -0.0754 6.7818 3.3883
Cu -2.4304 1.3361 3.9293
CELL_PARAMETERS angstrom
-4.7035 1.9712 -0.2357
-1.6534 -3.0623 7.3843
3.4136 8.6661 4.3582

=====

! AlHgRu, optimized geometry, DFT PBE; values from VASP
! Formation energy = 0.112 eV/atom
! Space group = P3m1
&SYSTEM
  ibrav = 0, nat = 3, ntyp = 3
/
ATOMIC_SPECIES
Ru 101.07 Ru.upf
Hg 200.59 Hg.upf
Al 26.98 Al.upf
ATOMIC_POSITIONS angstrom
Ru 3.4933 -0.3022 -0.3427
Hg 1.3155 -2.1884 -0.7148
Al 2.2343 -0.5517 1.7990
CELL_PARAMETERS angstrom
-0.4345 -4.1803 -0.7424
2.5682 2.3502 -2.4689
2.4547 -0.6062 1.9764

=====

! PaVRe2N6, optimized geometry, DFT PBE; values from VASP
! E_form (uncorrected) = -481 meV/atom
! Space group = P1
&SYSTEM
  ibrav = 0, nat = 10, ntyp = 4
/
ATOMIC_SPECIES
Pa 231.04 Pa.upf
V 50.94 V.upf
Re 186.21 Re.upf
N 14.01 N.upf
ATOMIC_POSITIONS angstrom
Pa 8.0865 4.7450 2.5688
V 2.5048 1.3901 0.2789
Re 5.4629 3.1137 2.0324
Re 2.8448 1.5088 4.4037
N 4.5374 1.5268 1.0629
N 4.5198 4.5048 0.8403
N 7.2422 3.1929 1.0257
N 5.8529 4.6547 3.1453
N 6.3318 1.8971 3.5265
N 3.9002 2.8185 3.4136
CELL_PARAMETERS angstrom
5.3384 0.1117 -0.0071
2.7650 4.6821 -0.2038
2.6935 1.3969 4.6422

=====

! NbSbTe2O, optimized geometry, DFT PBE; values from VASP
! E_form (uncorrected) = 655 meV/atom
! Space group = P4/mmm
&SYSTEM
  ibrav = 0, nat = 5, ntyp = 4
/
ATOMIC_SPECIES
Sb 121.76 Sb.upf
Nb 92.91 Nb.upf
Te 127.60 Te.upf
O 16.00 O.upf
ATOMIC_POSITIONS angstrom
Sb -0.2029 1.7329 2.0473
Nb 0.0000 0.0000 0.0000
Te -0.4656 -2.0014 1.6478
Te -2.5848 0.2301 -0.4510
O -3.2534 -0.0384 3.2442
CELL_PARAMETERS angstrom
-5.1696 0.4602 -0.9019
-0.9313 -4.0027 3.2956
-0.4059 3.4657 4.0946

=====

! CsVTe2, optimized geometry, DFT PBE; values from VASP
! E_form (uncorrected) = -619 meV/atom
! Space group = C2/c
&SYSTEM
  ibrav = 0, nat = 8, ntyp = 3
/
ATOMIC_SPECIES
Cs 132.91 Cs.upf
V 50.94 V.upf
Te 127.60 Te.upf
ATOMIC_POSITIONS angstrom
Cs 2.6956 5.7151 -2.9697
Cs 1.2026 0.8353 6.0168
V 3.5289 3.2731 1.2137
V 0.3694 3.2772 1.8335
Te 4.7090 2.7389 -1.0698
Te 1.8476 5.2761 0.9811
Te -0.8108 3.8115 4.1170
Te 2.0507 1.2743 2.0661
CELL_PARAMETERS angstrom
6.3155 0.0019 -1.2568
-2.3732 6.6872 -3.6950
-0.0441 -0.1387 7.9990

=====

! CaCuSi2, optimized geometry, DFT PBE; values from VASP
! E_form (uncorrected) = 184 meV/atom
! Space group = Fm-3m
&SYSTEM
  ibrav = 0, nat = 4, ntyp = 3
/
ATOMIC_SPECIES
Ca 40.08 Ca.upf
Si 28.09 Si.upf
Cu 63.55 Cu.upf
ATOMIC_POSITIONS angstrom
Ca 0.0000 0.0000 0.0000
Si 1.6444 1.6444 1.6444
Si 4.9331 4.9331 4.9331
Cu 3.2887 3.2887 3.2887
CELL_PARAMETERS angstrom
0.0000 3.2887 3.2887
3.2887 0.0000 3.2887
3.2887 3.2887 0.0000

=====

! Li3Ni13, optimized geometry, DFT PBE; values from VASP
! Formation energy = 0.009 eV/atom
! Space group = Amm2
&SYSTEM
  ibrav = 0, nat = 16, ntyp = 2
/
ATOMIC_SPECIES
Li 6.94 Li.upf
Ni 58.69 Ni.upf
ATOMIC_POSITIONS angstrom
Li -2.9014 -3.8286 3.3132
Li -0.4875 -3.5944 2.5845
Li -3.7730 -2.4107 5.1208
Ni 2.8184 -2.7009 5.1836
Ni 0.9919 -1.9389 3.6921
Ni 1.7289 0.0876 2.4708
Ni 1.3197 -4.3836 4.0750
Ni 0.2233 -1.5773 1.3449
Ni 3.3393 -1.7282 2.9659
Ni 1.9451 -1.2803 6.9946
Ni 0.1118 -0.5072 5.5172
Ni 0.8556 1.5082 4.2819
Ni -1.3667 -2.1587 4.4134
Ni 0.4166 -2.9310 5.8792
Ni -0.6610 -0.1726 3.1957
Ni 2.4825 -0.2816 4.7971
CELL_PARAMETERS angstrom
-2.7678 -4.7064 2.3572
4.9710 -0.9325 3.1285
-1.7636 2.8689 3.6573

=====

! ScH4Pd2, optimized geometry, DFT PBE; values from VASP
! Space group = I4_1/amd
&SYSTEM
  ibrav = 0, nat = 14, ntyp = 3
/
ATOMIC_SPECIES
Sc 44.96 Sc.upf
H 1.01 H.upf
Pd 106.42 Pd.upf
ATOMIC_POSITIONS angstrom
Sc 0.0000 0.0000 0.0000
Sc -1.9545 -2.8669 -0.3991
H 2.6045 -2.9475 0.0231
H -1.0382 -2.8555 3.4260
H -1.8017 -1.1695 0.7562
H -3.4894 -1.3521 3.6405
H -0.5419 -3.8220 0.7551
H -0.6985 -1.2303 4.3552
H 0.9891 -1.0477 1.4709
H 2.1083 -1.9809 2.6941
Pd -3.8177 -2.0547 1.9253
Pd 0.7832 -2.9015 1.7246
Pd 1.0561 -3.1350 -1.0307
Pd -1.2501 -1.1999 2.5557
CELL_PARAMETERS angstrom
-0.5458 0.4671 5.5105
-5.1351 -1.7095 -1.2608
4.0666 -3.4031 -1.6622

=====

! Tb3Dy4Au4, optimized geometry, DFT PBE; values from VASP
! Formation energy = -0.559 eV/atom
! Space group = Immm
&SYSTEM
  ibrav = 0, nat = 11, ntyp = 3
/
ATOMIC_SPECIES
Tb 158.93 Tb.upf
Dy 162.50 Dy.upf
Au 196.97 Au.upf
ATOMIC_POSITIONS angstrom
Tb -0.5749 -1.3174 0.7110
Tb -0.4908 -7.6927 -0.5374
Tb 2.9920 -2.0073 -1.3000
Dy -3.1369 -3.3614 2.8430
Dy -0.5125 -3.9154 -1.5469
Dy 2.0712 -5.6487 -2.6695
Dy -0.5533 -5.0947 1.7205
Au 1.8457 -4.6342 0.1177
Au -2.9114 -4.3759 0.0559
Au 3.6154 -3.8018 -4.1211
Au -0.1104 -1.3023 -2.5023
CELL_PARAMETERS angstrom
-2.4790 -1.0895 -4.0234
5.9841 -4.0146 -2.6000
-4.5708 -3.9060 6.7970

=====

Number 1: calculated volume 124.4 Å³ per cell, DOS at the Fermi energy 7.59 states/eV/f.u., uncorrected energy -5.16 eV/atom. Number 2: calculated volume 238.9 Å³ per cell, DOS at the Fermi energy 11.44 states/eV/f.u., uncorrected energy -4.50 eV/atom. Number 3: calculated volume 242.4 Å³ per cell, DOS at the Fermi energy 4.29 states/eV/f.u., uncorrected energy -4.36 eV/atom. Number 4: calculated volume 428.6 Å³ per cell, DOS at the Fermi energy 3.95 states/eV/f.u., uncorrected energy -4.27 eV/atom. Number 5: calculated volume 50.6 Å³ per cell, DOS at the Fermi energy 1.75 states/eV/f.u., uncorrected energy -4.33 eV/atom. Number 6: calculated volume 116.1 Å³ per cell, DOS at the Fermi energy 3.80 states/eV/f.u., uncorrected energy -9.83 eV/atom. Number 7: calculated volume 149.3 Å³ per cell, DOS at the Fermi energy 7.50 states/eV/f.u., uncorrected energy -4.43 eV/atom. Number 8: calculated volume 333.8 Å³ per cell, DOS at the Fermi energy 3.79 states/eV/f.u., uncorrected energy -4.68 eV/atom. Number 9: calculated volume 71.1 Å³ per cell, DOS at the Fermi energy 1.95 states/eV/f.u., uncorrected energy -4.05 eV/atom. Number 10: calculated volume 175.6 Å³ per cell, DOS at the Fermi energy 24.75 states/eV/f.u., uncorrected energy -5.05 eV/atom. Number 11: calculated volume 129.0 Å³ per cell, DOS at the Fermi energy 3.17 states/eV/f.u., uncorrected energy -4.53 eV/atom. Number 12: calculated volume 292.1 Å³ per cell, DOS at the Fermi energy 8.48 states/eV/f.u., uncorrected energy -4.69 eV/atom.